Computed, not measured: a relaxed Pr6Er5Tm2 crystal at the GGA-PBE level of DFT.

Structure (CIF):
```
data_Pr6Er5Tm2
_chemical_formula_sum 'Pr12 Er10 Tm4'
_space_group_name_H-M_alt 'P b a m'
_space_group_IT_number 55
_space_group_name_Hall '-P 2 2ab'
_cell_length_a 11.682
_cell_length_b 20.668
_cell_length_c 3.621
_cell_angle_alpha 90.00
_cell_angle_beta 90.00
_cell_angle_gamma 90.00
loop_
_atom_site_label
_atom_site_fract_x
_atom_site_fract_y
_atom_site_fract_z
Pr1 0.061 0.081 0.000
Pr2 0.086 0.368 0.000
Pr3 0.171 0.636 0.500
Er1 0.000 0.500 0.500
Er2 0.094 0.228 0.500
Er3 0.197 0.944 0.500
Tm1 0.164 0.791 0.000
```

Values from the calculation:
- Total moment: 0.0 μB per formula unit
- DFT formation energy: 1.4 eV per formula unit
- N(E_F): 15.392 states/eV/f.u.